Below is an optimized crystal structure of Cd3GaPd, with properties calculated at the PBE-GGA level.

Results
Density of states at the Fermi level = 2.4 states/eV/cell
DFT formation energy = 45 meV per atom
Magnetization = 0.00 μB per cell
Electronic total energy = -10.738 eV/cell

a b c (Å): 2.935 7.710 7.710
angles (deg): 40.42 90.00 90.00
Fractional positions:
Cd  0.000  0.000  0.000
Cd  0.500  0.086  0.582
Cd  0.500  0.582  0.086
Ga  0.000  0.654  0.654
Pd  0.500  0.161  0.161